Entry from Alexandria via LeMat-Bulk: a relaxed structure of PmYTm (GGA-PBE).

For the spin magnetization, the calculation gives 0.0 Bohr magnetons per cell. As for the formation energy: 8 meV/atom. The offset from the most stable computed form is 0.0000 eV per atom. As for the crystal system: triclinic. The calculation puts the theoretical density at 6.84 g cm⁻³.

It has space group P-1 (No. 2), with a = 6.301 Å, b = 6.309 Å, c = 6.744 Å, α = 62.17°, β = 62.17° and γ = 60.05°. The inequivalent atoms are Pm at (0.086, 0.248, 0.249), Y at (0.413, 0.582, 0.251) and Tm at (0.250, 0.081, 0.750).